<w>
First-principles (PBE) data for a geometry-optimized Zr3PdC structure, as listed in Alexandria via LeMat-Bulk.

abc: 3.3508 6.1505 9.0485
angles: 90.00 90.00 105.81
Positions (direct):
Zr 0.8738 0.7477 0.5584
Zr 0.1262 0.2524 0.4416
Zr 0.1262 0.2524 0.0584
Zr 0.8738 0.7477 0.9416
Zr 0.4436 0.8871 0.2500
Zr 0.5564 0.1129 0.7500
Pd 0.7516 0.5031 0.2500
Pd 0.2484 0.4969 0.7500
C 0.5000 0.0000 0.0000
C 0.5000 0.0000 0.5000

Computed properties:
Its space-group type is Cmcm. The value obtained for the volume is 17.942 Å³ per atom.

<x>
First-principles (PBE) data for a geometry-optimized Zr3PdC structure, as listed in Alexandria via LeMat-Bulk.

abc: 4.5155 4.5155 4.5155
angles: 90.00 90.00 90.00
Positions (direct):
C 0.0000 0.0000 0.0000
Zr 0.0000 0.5000 0.0000
Zr 0.0000 0.0000 0.5000
Zr 0.5000 0.0000 0.0000
Pd 0.5000 0.5000 0.5000

Computed properties:
Its space-group type is Pm-3m. The value obtained for the volume is 18.414 Å³ per atom.

The structure with the most favorable energy is <w>; the runner-up is 176 meV/atom above it.

<w>
First-principles (PBE) data for a geometry-optimized PmC3 structure, as listed in Alexandria via LeMat-Bulk.

abc: 3.8212 3.8212 4.6851
angles: 114.07 114.07 90.00
Positions (direct):
Pm 0.0000 0.0000 0.0000
C 0.5000 0.5000 0.0000
C 0.3259 0.3259 0.6518
C 0.6741 0.6741 0.3482

Computed properties:
Its space-group type is I4/mmm. The value obtained for the volume is 13.972 Å³ per atom.

<x>
First-principles (PBE) data for a geometry-optimized PmC3 structure, as listed in Alexandria via LeMat-Bulk.

abc: 5.0222 5.1756 5.1756
angles: 97.66 90.00 90.00
Positions (direct):
Pm 0.7500 0.2162 0.7838
Pm 0.2500 0.7838 0.2162
C 0.2500 0.9254 0.6872
C 0.2500 0.3128 0.0746
C 0.2500 0.1242 0.8758
C 0.7500 0.0746 0.3128
C 0.7500 0.6872 0.9254
C 0.7500 0.8758 0.1242

Computed properties:
Its space-group type is Cmcm. The value obtained for the volume is 16.666 Å³ per atom.

The structure with the most favorable energy is <x>; the runner-up is 142 meV/atom above it.

<w>
First-principles (PBE) data for a geometry-optimized PmPuC2 structure, as listed in Alexandria via LeMat-Bulk.

abc: 3.9054 4.3815 4.3815
angles: 100.94 90.00 90.00
Last column: magnetic moment on the atom in μB.
Positions (direct):
Pm 0.0000 0.9502 0.0498  0.07
Pu 0.5000 0.3827 0.6173  4.78
C 0.5000 0.8514 0.4043  -0.07
C 0.5000 0.5957 0.1486  -0.07

Computed properties:
Its space-group type is Amm2. The value obtained for the volume is 18.404 Å³ per atom.

<x>
First-principles (PBE) data for a geometry-optimized PmPuC2 structure, as listed in Alexandria via LeMat-Bulk.

abc: 3.6161 3.6161 6.1641
angles: 72.94 72.94 60.00
Last column: magnetic moment on the atom in μB.
Positions (direct):
C 0.7650 0.7650 0.7050  -0.19
C 0.2350 0.2350 0.2950  -0.19
Pm 0.0000 0.0000 0.0000  -0.03
Pu 0.5000 0.5000 0.5000  3.73

Computed properties:
Its space-group type is R-3m. The value obtained for the volume is 16.419 Å³ per atom.

The structure with the most favorable energy is <x>; the runner-up is 85 meV/atom above it.

<w>
First-principles (PBE) data for a geometry-optimized PmRhC structure, as listed in Alexandria via LeMat-Bulk.

abc: 3.3925 5.7473 10.9523
angles: 90.00 90.00 90.00
Positions (direct):
Rh 0.7500 0.5988 0.4209
Rh 0.2500 0.0988 0.0791
Rh 0.2500 0.4012 0.5791
Rh 0.7500 0.9012 0.9209
Pm 0.7500 0.4040 0.8344
Pm 0.2500 0.9040 0.6656
Pm 0.2500 0.5960 0.1656
Pm 0.7500 0.0960 0.3344
C 0.7500 0.9149 0.1165
C 0.2500 0.4149 0.3835
C 0.2500 0.0851 0.8835
C 0.7500 0.5851 0.6165

Computed properties:
Its space-group type is Pnma. The value obtained for the volume is 17.795 Å³ per atom.

<x>
First-principles (PBE) data for a geometry-optimized PmRhC structure, as listed in Alexandria via LeMat-Bulk.

abc: 5.0830 3.3727 3.3727
angles: 120.00 90.00 90.00
Positions (direct):
C 0.2705 0.6667 0.3333
Rh 0.1313 0.0000 0.0000
Pm 0.5983 0.3333 0.6667

Computed properties:
Its space-group type is P3m1. The value obtained for the volume is 16.691 Å³ per atom.

The structure with the most favorable energy is <w>; the runner-up is 81 meV/atom above it.